Record 1
The following is a PBE calculation of a geometry-optimized Na2NbH2 structure, from Alexandria via LeMat-Bulk.

Computed properties:
calculated volume = 15.86 Å³/atom
magnetization = 2.7 μB per formula unit
offset from the most stable computed form = 0.00 eV per formula unit

Unit cell a=5.850 b=5.850 c=4.634 alpha=90.00 beta=90.00 gamma=90.00
Each line ends with the local moment (μB).
Atoms (fractional coordinates):
Na1 0.170 0.670 0.500  0.01
Na2 0.670 0.830 0.500  0.02
Na3 0.830 0.330 0.500  0.01
Na4 0.330 0.170 0.500  0.02
Nb1 0.000 0.000 0.000  2.03
Nb2 0.500 0.500 0.000  2.03
H1 0.266 0.766 0.000  -0.02
H2 0.766 0.734 0.000  -0.02
H3 0.734 0.234 0.000  -0.02
H4 0.234 0.266 0.000  -0.02

Record 2
The following is a PBE calculation of a geometry-optimized Na3NbH structure, from Alexandria via LeMat-Bulk.

Computed properties:
calculated volume = 23.50 Å³/atom
magnetization = 5.0 μB per formula unit
calculated total energy = -13.21 eV for the cell shown

Unit cell a=4.898 b=4.898 c=4.898 alpha=90.00 beta=90.00 gamma=90.00
Each line ends with the local moment (μB).
Atoms (fractional coordinates):
Na1 0.000 0.500 0.000  0.04
Na2 0.000 0.000 0.500  0.04
Na3 0.500 0.000 0.000  0.02
Nb1 0.500 0.500 0.500  3.03
H1 0.000 0.000 0.000  0.03

Record 3
The following is a PBE calculation of a geometry-optimized Na2NbH6 structure, from Alexandria via LeMat-Bulk.

Computed properties:
calculated volume = 13.08 Å³/atom
magnetization = 1.0 μB per formula unit
calculated total energy = -30.36 eV for the cell shown

Unit cell a=5.501 b=5.501 c=5.501 alpha=60.00 beta=60.00 gamma=60.00
Each line ends with the local moment (μB).
Atoms (fractional coordinates):
Na1 0.750 0.750 0.750  0.01
Na2 0.250 0.250 0.250  0.01
Nb1 0.000 0.000 0.000  0.80
H1 0.243 0.757 0.243  -0.01
H2 0.757 0.243 0.243  -0.01
H3 0.243 0.757 0.757  -0.01
H4 0.757 0.243 0.757  -0.01
H5 0.757 0.757 0.243  -0.01
H6 0.243 0.243 0.757  -0.01

Record 4
The following is a PBE calculation of a geometry-optimized Na2NbH2 structure, from Alexandria via LeMat-Bulk.

Computed properties:
calculated volume = 12.66 Å³/atom
magnetization = 0.0 μB per formula unit
offset from the most stable computed form = 2.10 eV per formula unit

Unit cell a=3.357 b=3.357 c=6.096 alpha=74.02 beta=74.02 gamma=90.00
Atoms (fractional coordinates):
Na1 0.750 0.250 0.500
Na2 0.250 0.750 0.500
Nb1 0.000 0.000 0.000
H1 0.417 0.417 0.165
H2 0.583 0.583 0.835

Record 5
The following is a PBE calculation of a geometry-optimized Na2NbHO structure, from Alexandria via LeMat-Bulk.

Computed properties:
calculated volume = 29.50 Å³/atom
magnetization = 2.3 μB per formula unit
calculated total energy = -20.19 eV for the cell shown

Unit cell a=6.141 b=3.912 c=6.141 alpha=90.00 beta=90.00 gamma=90.00
Each line ends with the local moment (μB).
Atoms (fractional coordinates):
Na1 0.000 0.000 0.500  0.00
Na2 0.500 0.000 0.000  0.02
Nb1 0.000 0.000 0.000  1.80
O1 0.000 0.500 0.000  -0.09
H1 0.500 0.500 0.500  0.03

Record 6
The following is a PBE calculation of a geometry-optimized NaNb2HO6 structure, from Alexandria via LeMat-Bulk.

Computed properties:
calculated volume = 12.94 Å³/atom
magnetization = 0.0 μB per formula unit
calculated total energy = -152.59 eV for the cell shown

Unit cell a=6.054 b=7.074 c=7.074 alpha=64.21 beta=74.42 gamma=74.42
Atoms (fractional coordinates):
Na1 0.250 0.776 0.224
Na2 0.750 0.224 0.776
Nb1 0.315 0.846 0.675
Nb2 0.185 0.325 0.154
Nb3 0.685 0.154 0.325
Nb4 0.815 0.675 0.846
H1 0.250 0.135 0.865
H2 0.750 0.865 0.135
O1 0.170 0.049 0.791
O2 0.330 0.209 0.951
O3 0.830 0.951 0.209
O4 0.670 0.791 0.049
O5 0.371 0.014 0.369
O6 0.129 0.631 0.986
O7 0.629 0.986 0.631
O8 0.871 0.369 0.014
O9 0.076 0.748 0.607
O10 0.424 0.393 0.252
O11 0.924 0.252 0.393
O12 0.576 0.607 0.748

Q: What is the magnetization in the first record?
A: 2.7 μB per formula unit